Here is an optimized crystal structure of Nd4Cd2AgHg from Alexandria. Energies are from PBE.

The calculation puts the density of states at the Fermi level at 1.02 states/eV/atom. The formation energy comes out at -335 meV per atom. The total magnetic moment is 1.4 μB/f.u. The calculation puts the volume at 28.0 Å³ per atom. The calculation puts the final energy at -3.34 eV per atom.

a b c (Å): 5.411 5.411 9.373
angles (deg): 73.22 73.22 60.00
Last column: magnetic moment on the atom in μB.
Fractional positions:
Cd1 0.749 0.749 0.752  0.01
Nd1 0.376 0.376 0.872  0.17
Nd2 0.624 0.624 0.128  0.17
Nd3 0.874 0.874 0.378  0.16
Nd4 0.126 0.126 0.622  0.16
Cd2 0.251 0.251 0.248  0.01
Hg1 0.000 0.000 0.000  0.01
Ag1 0.500 0.500 0.500  0.02